Density functional theory data (GGA-PBE) for a relaxed SrMgTlBi crystal.

Computed properties:
- Calculated volume: 30.7 A^3/atom
- Uncorrected energy: -10.88 eV/cell
- Magnetic moment: 0.00 μB per formula unit
- ΔE_f: -0.3381 eV per atom
- SG: F-43m

a = 5.582 Å, b = 5.582 Å, c = 5.582 Å
α = 60.00°, β = 60.00°, γ = 60.00°
Fractional positions:
Mg  0.250  0.250  0.250
Bi  0.500  0.500  0.500
Tl  0.000  0.000  0.000
Sr  0.750  0.750  0.750